[1]
PrMnGe2Pd, optimized geometry, DFT GGA-PBE; symmetry = I-4m2 (119); ΔE_f = -650 meV/atom
1.0
-2.124 2.124 5.306
2.124 -2.124 5.306
2.124 2.124 -5.306
Pr Mn Ge Pd
1 1 2 1
Direct
0.000 0.000 0.000
0.750 0.250 0.500
0.380 0.380 0.000
0.620 0.620 0.000
0.250 0.750 0.500

[2]
Pr2MnGe3Pd4, optimized geometry, DFT GGA-PBE; symmetry = P-4m2 (115); ΔE_f = -713 meV/atom
1.0
4.360 0.000 0.000
0.000 4.360 0.000
0.000 0.000 10.238
Pr Mn Ge Pd
2 1 3 4
Direct
0.000 0.500 0.249
0.500 0.000 0.751
0.500 0.500 0.000
0.000 0.000 0.000
0.000 0.500 0.628
0.500 0.000 0.372
0.000 0.000 0.500
0.000 0.500 0.868
0.500 0.000 0.132
0.500 0.500 0.500

[3]
Pr2MnGePd6, optimized geometry, DFT GGA-PBE; symmetry = R-3m (166); ΔE_f = -461 meV/atom
1.0
2.863 1.653 7.571
-2.863 1.653 7.571
0.000 -3.306 7.571
Pr Mn Ge Pd
2 1 1 6
Direct
0.208 0.208 0.208
0.792 0.792 0.792
0.500 0.500 0.500
0.000 0.000 0.000
0.248 0.248 0.740
0.248 0.740 0.248
0.260 0.752 0.752
0.740 0.248 0.248
0.752 0.260 0.752
0.752 0.752 0.260

[4]
MnGePdPt, optimized geometry, DFT GGA-PBE; symmetry = F-43m (216); ΔE_f = -324 meV/atom
1.0
0.000 3.123 3.123
3.123 0.000 3.123
3.123 3.123 0.000
Mn Ge Pd Pt
1 1 1 1
Direct
0.000 0.000 0.000
0.500 0.500 0.500
0.250 0.250 0.250
0.750 0.750 0.750

[5]
Mn2GePdPt, optimized geometry, DFT GGA-PBE; symmetry = P4/mmm (123); ΔE_f = 618 meV/atom
1.0
4.693 0.000 0.000
0.000 4.693 0.000
0.000 0.000 4.659
Mn Ge Pd Pt
2 1 1 1
Direct
0.000 0.500 0.000
0.500 0.000 0.000
0.000 0.000 0.000
0.500 0.500 0.500
0.000 0.000 0.500

[6]
Mn2GeSbPd, optimized geometry, DFT GGA-PBE; ΔE_f (raw) = 0.67 eV per atom; symmetry = P4/mmm (123)
1.0
4.774 0.000 0.000
0.000 4.774 0.000
0.000 0.000 4.865
Mn Ge Sb Pd
2 1 1 1
Direct
0.000 0.500 0.000
0.500 0.000 0.000
0.000 0.000 0.500
0.500 0.500 0.500
0.500 0.500 0.000

[7]
ScMnGePd, optimized geometry, DFT GGA-PBE; symmetry = F-43m (216); ΔE_f = -457 meV/atom
1.0
0.000 3.225 3.225
3.225 0.000 3.225
3.225 3.225 0.000
Sc Mn Ge Pd
1 1 1 1
Direct
0.000 0.000 0.000
0.500 0.500 0.500
0.750 0.750 0.750
0.250 0.250 0.250

[8]
MnGe2PdSe6, optimized geometry, DFT GGA-PBE; ΔE_f (raw) = -0.23 eV per atom; symmetry = C2/c (15)
1.0
6.410 -5.742 0.000
6.410 5.742 0.000
-1.311 0.000 6.456
Mn Ge Pd Se
2 4 2 12
Direct
0.098 0.902 0.750
0.902 0.098 0.250
0.219 0.403 0.703
0.403 0.219 0.203
0.597 0.781 0.797
0.781 0.597 0.297
0.252 0.748 0.250
0.748 0.252 0.750
0.025 0.180 0.618
0.106 0.648 0.898
0.180 0.025 0.118
0.281 0.468 0.374
0.352 0.894 0.602
0.468 0.281 0.874
0.532 0.719 0.126
0.648 0.106 0.398
0.719 0.532 0.626
0.820 0.975 0.882
0.894 0.352 0.102
0.975 0.820 0.382

[9]
SmMnGe2Pd, optimized geometry, DFT GGA-PBE; symmetry = I-4m2 (119); ΔE_f = -645 meV/atom
1.0
-2.095 2.095 5.309
2.095 -2.095 5.309
2.095 2.095 -5.309
Sm Mn Ge Pd
1 1 2 1
Direct
0.000 0.000 0.000
0.750 0.250 0.500
0.382 0.382 0.000
0.618 0.618 0.000
0.250 0.750 0.500

[10]
Sm2MnGePd6, optimized geometry, DFT GGA-PBE; symmetry = R-3m (166); ΔE_f = -478 meV/atom
1.0
2.831 1.635 7.612
-2.831 1.635 7.612
0.000 -3.269 7.612
Sm Mn Ge Pd
2 1 1 6
Direct
0.205 0.205 0.205
0.795 0.795 0.795
0.500 0.500 0.500
0.000 0.000 0.000
0.249 0.249 0.744
0.249 0.744 0.249
0.256 0.751 0.751
0.744 0.249 0.249
0.751 0.256 0.751
0.751 0.751 0.256

[11]
Sm2MnGe4Pd3, optimized geometry, DFT GGA-PBE; symmetry = P-4m2 (115); ΔE_f = -706 meV/atom
1.0
4.224 0.000 0.000
0.000 4.224 0.000
0.000 0.000 10.626
Sm Mn Ge Pd
2 1 4 3
Direct
0.000 0.500 0.250
0.500 0.000 0.750
0.000 0.000 0.500
0.000 0.000 0.000
0.000 0.500 0.634
0.500 0.000 0.366
0.500 0.500 0.000
0.000 0.500 0.867
0.500 0.000 0.133
0.500 0.500 0.500

[12]
Sr2MnGePd6, optimized geometry, DFT GGA-PBE; symmetry = P-1 (2); ΔE_f = -436 meV/atom
1.0
5.660 0.000 0.000
2.824 6.054 0.000
2.816 -0.450 6.254
Sr Mn Ge Pd
2 1 1 6
Direct
0.037 0.218 0.208
0.963 0.782 0.792
0.500 0.500 0.000
0.500 0.000 0.500
0.005 0.252 0.733
0.359 0.394 0.393
0.491 0.750 0.265
0.509 0.250 0.735
0.641 0.606 0.607
0.995 0.748 0.267

[13]
Sr2MnGe3Pd4, optimized geometry, DFT GGA-PBE; symmetry = P-4m2 (115); ΔE_f = -599 meV/atom
1.0
4.372 0.000 0.000
0.000 4.372 0.000
0.000 0.000 10.565
Sr Mn Ge Pd
2 1 3 4
Direct
0.000 0.500 0.248
0.500 0.000 0.752
0.000 0.000 0.500
0.000 0.500 0.876
0.500 0.000 0.124
0.500 0.500 0.500
0.000 0.000 0.000
0.000 0.500 0.636
0.500 0.000 0.364
0.500 0.500 0.000

[14]
SrMnGe2Pd, optimized geometry, DFT GGA-PBE; symmetry = I-4m2 (119); ΔE_f = -517 meV/atom
1.0
-2.170 2.170 5.324
2.170 -2.170 5.324
2.170 2.170 -5.324
Sr Mn Ge Pd
1 1 2 1
Direct
0.000 0.000 0.000
0.750 0.250 0.500
0.373 0.373 0.000
0.627 0.627 0.000
0.250 0.750 0.500

[15]
MnGe2Te2Pd7, optimized geometry, DFT GGA-PBE; ΔE_f (raw) = -0.29 eV per atom; symmetry = C2/m (12)
1.0
2.790 -2.790 0.000
2.790 2.790 0.000
-2.677 0.000 14.847
Mn Ge Te Pd
1 2 2 7
Direct
0.000 0.000 0.000
0.387 0.387 0.764
0.613 0.613 0.236
0.205 0.205 0.414
0.795 0.795 0.586
0.064 0.564 0.134
0.301 0.301 0.599
0.436 0.936 0.866
0.500 0.500 0.000
0.564 0.064 0.134
0.699 0.699 0.401
0.936 0.436 0.866

[16]
MnTlGe2Pd, optimized geometry, DFT GGA-PBE; symmetry = P4/mmm (123); ΔE_f = 572 meV/atom
1.0
4.826 0.000 0.000
0.000 4.826 0.000
0.000 0.000 5.375
Mn Tl Ge Pd
1 1 2 1
Direct
0.000 0.000 0.000
0.500 0.500 0.000
0.000 0.500 0.500
0.500 0.000 0.500
0.500 0.500 0.500

[17]
MnVGe2Pd, optimized geometry, DFT GGA-PBE; symmetry = P4/mmm (123); ΔE_f = 854 meV/atom
1.0
4.759 0.000 0.000
0.000 4.759 0.000
0.000 0.000 4.911
Mn V Ge Pd
1 1 2 1
Direct
0.000 0.000 0.000
0.500 0.500 0.000
0.000 0.500 0.500
0.500 0.000 0.500
0.000 0.000 0.500

[18]
Y2MnGePd6, optimized geometry, DFT GGA-PBE; symmetry = R-3m (166); ΔE_f = -487 meV/atom
1.0
2.808 1.621 7.630
-2.808 1.621 7.630
0.000 -3.243 7.630
Y Mn Ge Pd
2 1 1 6
Direct
0.203 0.203 0.203
0.797 0.797 0.797
0.500 0.500 0.500
0.000 0.000 0.000
0.249 0.249 0.747
0.249 0.747 0.249
0.253 0.751 0.751
0.747 0.249 0.249
0.751 0.253 0.751
0.751 0.751 0.253

[19]
MnZnGePd, optimized geometry, DFT GGA-PBE; symmetry = F-43m (216); ΔE_f = -161 meV/atom
1.0
0.000 3.091 3.091
3.091 0.000 3.091
3.091 3.091 0.000
Mn Zn Ge Pd
1 1 1 1
Direct
0.000 0.000 0.000
0.750 0.750 0.750
0.250 0.250 0.250
0.500 0.500 0.500

[20]
ZrMnGe2Pd, optimized geometry, DFT GGA-PBE; symmetry = P4/mmm (123); ΔE_f = 996 meV/atom
1.0
5.043 0.000 0.000
0.000 5.043 0.000
0.000 0.000 4.767
Zr Mn Ge Pd
1 1 2 1
Direct
0.000 0.000 0.000
0.000 0.000 0.500
0.000 0.500 0.000
0.500 0.000 0.000
0.500 0.500 0.500

[21]
PmMn6Ge6, optimized geometry, DFT GGA-PBE; symmetry = Immm (71); ΔE_f = -288 meV/atom
1.0
-2.597 4.097 4.493
2.597 -4.097 4.493
2.597 4.097 -4.493
Pm Mn Ge
1 6 6
Direct
0.000 0.000 0.000
0.000 0.000 0.500
0.000 0.500 0.000
0.252 0.500 0.752
0.500 0.000 0.000
0.500 0.500 0.500
0.748 0.500 0.248
0.171 0.671 0.500
0.338 0.338 0.000
0.347 0.000 0.347
0.653 0.000 0.653
0.662 0.662 0.000
0.829 0.329 0.500

[22]
Pm2MnGe6, optimized geometry, DFT GGA-PBE; symmetry = Amm2 (38); ΔE_f = -391 meV/atom
1.0
4.197 0.000 0.000
0.000 2.036 10.996
0.000 -2.036 10.996
Pm Mn Ge
2 1 6
Direct
0.000 0.000 0.000
0.000 0.336 0.336
0.500 0.561 0.561
0.000 0.618 0.618
0.000 0.731 0.731
0.500 0.120 0.120
0.500 0.234 0.234
0.500 0.451 0.451
0.500 0.878 0.878

[23]
PmMnGe2, optimized geometry, DFT GGA-PBE; symmetry = Pnma (62); ΔE_f = -511 meV/atom
1.0
7.455 0.000 0.000
0.000 4.061 0.000
0.000 0.000 10.277
Pm Mn Ge
4 4 8
Direct
0.139 0.250 0.133
0.361 0.750 0.633
0.639 0.250 0.367
0.861 0.750 0.867
0.018 0.750 0.397
0.482 0.250 0.897
0.518 0.750 0.103
0.982 0.250 0.603
0.157 0.250 0.807
0.216 0.250 0.440
0.284 0.750 0.940
0.343 0.750 0.307
0.657 0.250 0.693
0.716 0.250 0.060
0.784 0.750 0.560
0.843 0.750 0.193

[24]
PmMnGe2, optimized geometry, DFT GGA-PBE; symmetry = P6_3/mmc (194); ΔE_f = -476 meV/atom
1.0
4.147 0.000 0.000
-2.073 3.591 0.000
0.000 0.000 10.623
Pm Mn Ge
2 2 4
Direct
0.333 0.667 0.250
0.667 0.333 0.750
0.000 0.000 0.000
0.000 0.000 0.500
0.333 0.667 0.581
0.333 0.667 0.919
0.667 0.333 0.081
0.667 0.333 0.419

Summary of magnetization in μB per formula unit
3.7 4.0 4.0 4.2 8.0 8.5 4.1 3.2 3.7 4.0 3.4 4.4 4.0 3.3 4.0 4.4 7.9 4.1 3.5 3.2 11.6 2.8 2.6 2.4
(order as listed above)